Density functional theory data (PBE) for a relaxed structure of Rb12Hg5I3.

**E_form (uncorrected)**: -0.39 eV/atom
**Total energy**: -1.274 eV/atom

Cell: 21.706 21.706 21.706 Å, 90.00 90.00 90.00°
Space group Ia-3d (No. 230)
Inequivalent atoms, fractional coordinates:
1 Rb 0.028 0.079 0.646 [96 per cell]
2 Hg 0.000 0.000 0.000 [16 per cell]
3 Hg 0.000 0.250 0.375 [24 per cell]
4 I 0.000 0.250 0.125 [24 per cell]